1.
The following is a PBEsol calculation of a relaxed HgPSe3 crystal, from Alexandria via LeMat-Bulk.

abc: 4.8017 4.8017 4.8017
angles: 90.00 90.00 90.00
Sites, in units of the cell vectors:
Hg 0.0000 0.0000 0.0000
P 0.5000 0.5000 0.5000
Se 0.0000 0.5000 0.5000
Se 0.5000 0.0000 0.5000
Se 0.5000 0.5000 0.0000

* SG: No. 221
* E_form (uncorrected): 0.361 eV/atom
* DOS at the Fermi energy: 3.64 states/eV per cell
* size of the total moment: 0.00 μB/cell
* crystal system: cubic

2.
The following is a PBEsol calculation of a relaxed CsSn2Pd2 crystal, from Alexandria via LeMat-Bulk.

abc: 7.1373 7.1373 7.1373
angles: 141.96 141.96 54.89
Sites, in units of the cell vectors:
Cs 0.0000 0.0000 0.0000
Sn 0.3468 0.3468 0.0000
Sn 0.6532 0.6532 0.0000
Pd 0.2500 0.7500 0.5000
Pd 0.7500 0.2500 0.5000

* SG: No. 139
* DOS at the Fermi energy: 1.98 states/eV per cell
* size of the total moment: 0.00 μB/cell
* energy of formation from the pure elements: -0.342 eV/atom
* crystal system: tetragonal

3.
The following is a PBEsol calculation of a relaxed La2Ge2Bi crystal, from Alexandria via LeMat-Bulk.

abc: 7.7174 7.7174 4.4132
angles: 90.00 90.00 90.00
Sites, in units of the cell vectors:
La 0.1778 0.3222 0.0000
La 0.3222 0.8222 0.0000
La 0.6778 0.1778 0.0000
La 0.8222 0.6778 0.0000
Ge 0.1162 0.6162 0.5000
Ge 0.3838 0.1162 0.5000
Ge 0.6162 0.8838 0.5000
Ge 0.8838 0.3838 0.5000
Bi 0.0000 0.0000 0.5000
Bi 0.5000 0.5000 0.5000

* SG: No. 127
* DOS at the Fermi energy: 4.74 states/eV per cell
* size of the total moment: 0.00 μB/cell
* energy of formation from the pure elements: -0.832 eV/atom
* crystal system: tetragonal

4.
The following is a PBEsol calculation of a relaxed BeCo2Mo crystal, from Alexandria via LeMat-Bulk.

abc: 4.2205 4.2205 4.2205
angles: 129.99 129.99 73.42
Sites, in units of the cell vectors:
Be 0.0000 0.0000 0.0000
Co 0.2500 0.7500 0.5000
Co 0.7500 0.2500 0.5000
Mo 0.5000 0.5000 0.0000

* SG: No. 139
* DOS at the Fermi energy: 1.73 states/eV per cell
* size of the total moment: 0.00 μB/cell
* energy of formation from the pure elements: -0.113 eV/atom
* crystal system: tetragonal

5.
The following is a PBEsol calculation of a relaxed SiNiPb2 crystal, from Alexandria via LeMat-Bulk.

abc: 5.0464 5.0464 5.0464
angles: 125.55 125.55 80.63
Sites, in units of the cell vectors:
Si 0.0000 0.0000 0.0000
Ni 0.5000 0.5000 0.0000
Pb 0.2500 0.7500 0.5000
Pb 0.7500 0.2500 0.5000

* SG: No. 139
* E_form (uncorrected): 0.496 eV/atom
* DOS at the Fermi energy: 2.26 states/eV per cell
* size of the total moment: 0.00 μB/cell
* crystal system: tetragonal
* polymorph energy (0 for the lowest one): 2.293 eV/f.u.

6.
The following is a PBEsol calculation of a relaxed NiHg3Mo crystal, from Alexandria via LeMat-Bulk.

abc: 4.7999 4.7999 4.7999
angles: 90.00 90.00 90.00
Sites, in units of the cell vectors:
Ni 0.0000 0.0000 0.0000
Hg 0.0000 0.0000 0.5000
Hg 0.0000 0.5000 0.0000
Hg 0.5000 0.0000 0.0000
Mo 0.5000 0.5000 0.5000

* SG: No. 221
* DOS at the Fermi energy: 3.14 states/eV per cell
* size of the total moment: 4.10 μB/cell
* energy of formation from the pure elements: 1.038 eV/atom
* crystal system: cubic

> Number 2 is which compound?

CsSn2Pd2